The following is a DFT calculation (GGA-PBE) of RbGdCuTe3 after structural relaxation.

The calculation puts the total energy at -0.1487 Ha/atom.

The structure belongs to space group Cmcm (No. 63); the cell edges are 4.2467, 16.7681 and 11.4374 Å and the angles 90.00°, 90.00° and 90.00°. The distinct sites, in fractional coordinates, are Rb at (0.0000, 0.2446, 0.2500), Gd at (0.0000, 0.5000, 0.0000), Cu at (0.0000, 0.0331, 0.7500), Te at (0.0000, 0.1270, 0.5652) and Te at (0.0000, 0.4348, 0.7500).

***

The following is a DFT calculation (GGA-PBE) of HfMgBIr after structural relaxation.

The calculation puts the total energy at -0.2511 Ha/atom.

The structure belongs to space group F-43m (No. 216); the cell edges are 6.2163, 6.2163 and 6.2163 Å and the angles 90.00°, 90.00° and 90.00°. The distinct sites, in fractional coordinates, are Hf at (0.0000, 0.0000, 0.0000), Mg at (0.0000, 0.0000, 0.5000), B at (0.2500, 0.2500, 0.7500) and Ir at (0.2500, 0.2500, 0.2500).

***

The following is a DFT calculation (GGA-PBE) of ZnCd after structural relaxation.

The calculation puts the total energy at -0.0370 Ha/atom.

The structure belongs to space group P2_1/m (No. 11); the cell edges are 5.9195, 5.0108 and 7.5729 Å and the angles 90.00°, 101.17° and 90.00°. The distinct sites, in fractional coordinates, are Zn at (0.0282, 0.2500, 0.1131), Zn at (0.1276, 0.7500, 0.5612), Zn at (0.3502, 0.2500, 0.4436), Cd at (0.1856, 0.2500, 0.7704), Cd at (0.3041, 0.7500, 0.2371) and Cd at (0.4706, 0.7500, 0.8788).

***

The following is a DFT calculation (GGA-PBE) of Sm2Sc2CI2BrCl2 after structural relaxation.

The calculation puts the total energy at -0.1969 Ha/atom.

The structure belongs to space group C2/m (No. 12); the cell edges are 18.0610, 3.7956 and 8.3842 Å and the angles 90.00°, 101.76° and 90.00°. The distinct sites, in fractional coordinates, are Sm at (0.0028, 0.0000, 0.2970), Sc at (0.1269, 0.5000, 0.5580), C at (0.0000, 0.5000, 0.5000), I at (0.1737, 0.0000, 0.8248), Br at (0.0000, 0.5000, 0.0000) and Cl at (0.1636, 0.0000, 0.3715).

***

What is the formula in the second record?
HfMgBIr